Here is an optimized crystal structure of MnCrHg2 from Alexandria via LeMat-Bulk. Energies are from PBE-GGA.

Computed properties:
The calculation puts the calculated formation energy at 0.416 eV/atom. The calculation puts the energy above the most stable polymorph in this dataset at 130 meV per atom. The value obtained for the density of states at the Fermi level is 0.59 states/eV/atom.

a = 4.6532 Å, b = 4.6545 Å, c = 3.4175 Å
α = 90.00°, β = 90.00°, γ = 90.00°
Positions (direct):
Cr  0.0000  0.5000  0.5000
Hg  0.0000  0.0000  0.0000
Hg  0.5000  0.5000  0.0000
Mn  0.5000  0.0000  0.5000

Here is an optimized crystal structure of MnCr2Hg from Alexandria via LeMat-Bulk. Energies are from PBE-GGA.

Computed properties:
The calculation puts the calculated formation energy at 0.429 eV/atom. The value obtained for the density of states at the Fermi level is 0.78 states/eV/atom.

a = 4.1071 Å, b = 3.6616 Å, c = 4.1664 Å
α = 90.00°, β = 90.00°, γ = 90.00°
Positions (direct):
Cr  0.0000  0.0000  0.0000
Cr  0.5000  0.5000  0.0000
Hg  0.5000  0.0000  0.5000
Mn  0.0000  0.5000  0.5000

Here is an optimized crystal structure of MnCr2Hg from Alexandria via LeMat-Bulk. Energies are from PBE-GGA.

Computed properties:
The calculation puts the calculated formation energy at 0.291 eV/atom. The value obtained for the density of states at the Fermi level is 0.64 states/eV/atom.

a = 2.9804 Å, b = 2.9804 Å, c = 6.7861 Å
α = 90.00°, β = 90.00°, γ = 90.00°
Positions (direct):
Cr  0.0000  0.0000  0.0062
Cr  0.5000  0.5000  0.2038
Hg  0.0000  0.0000  0.5002
Mn  0.5000  0.5000  0.7898

Here is an optimized crystal structure of MnCr2Hg2 from Alexandria via LeMat-Bulk. Energies are from PBE-GGA.

Computed properties:
The calculation puts the calculated formation energy at 0.820 eV/atom. The calculation puts the energy above the most stable polymorph in this dataset at 111 meV per atom. The value obtained for the density of states at the Fermi level is 0.56 states/eV/atom.

a = 4.0881 Å, b = 4.0881 Å, c = 6.2682 Å
α = 70.97°, β = 70.97°, γ = 90.00°
Positions (direct):
Cr  0.4187  0.4187  0.1625
Cr  0.5813  0.5813  0.8375
Mn  0.0000  0.0000  0.0000
Hg  0.7500  0.2500  0.5000
Hg  0.2500  0.7500  0.5000

Here is an optimized crystal structure of MnCrHg from Alexandria via LeMat-Bulk. Energies are from PBE-GGA.

Computed properties:
The calculation puts the calculated formation energy at 0.254 eV/atom. The calculation puts the energy above the most stable polymorph in this dataset at 0 meV per atom. The value obtained for the density of states at the Fermi level is 0.37 states/eV/atom.

a = 5.0963 Å, b = 5.0964 Å, c = 3.2844 Å
α = 71.20°, β = 71.20°, γ = 37.60°
Positions (direct):
Cr  0.0199  0.0199  0.9801
Hg  0.3328  0.3328  0.6672
Mn  0.6474  0.6474  0.3526

Here is an optimized crystal structure of MnCrHg2 from Alexandria via LeMat-Bulk. Energies are from PBE-GGA.

Computed properties:
The calculation puts the calculated formation energy at 0.515 eV/atom. The calculation puts the energy above the most stable polymorph in this dataset at 228 meV per atom. The value obtained for the density of states at the Fermi level is 0.74 states/eV/atom.

a = 9.0270 Å, b = 9.0270 Å, c = 9.0270 Å
α = 20.23°, β = 20.23°, γ = 20.23°
Positions (direct):
Cr  0.7500  0.7500  0.7500
Hg  0.9997  0.9997  0.9997
Hg  0.5003  0.5003  0.5003
Mn  0.2500  0.2500  0.2500

Here is an optimized crystal structure of MnCr2Hg from Alexandria via LeMat-Bulk. Energies are from PBE-GGA.

Computed properties:
The calculation puts the calculated formation energy at 0.576 eV/atom. The value obtained for the density of states at the Fermi level is 1.21 states/eV/atom.

a = 5.0093 Å, b = 5.0093 Å, c = 5.0093 Å
α = 143.75°, β = 128.92°, γ = 64.24°
Positions (direct):
Cr  0.0206  0.0206  0.0000
Cr  0.4794  0.4794  0.0000
Hg  0.7500  0.2500  0.5000
Mn  0.2500  0.7500  0.5000

Here is an optimized crystal structure of MnCr2Hg from Alexandria via LeMat-Bulk. Energies are from PBE-GGA.

Computed properties:
The calculation puts the calculated formation energy at 0.501 eV/atom. The value obtained for the density of states at the Fermi level is 0.60 states/eV/atom.

a = 8.5881 Å, b = 8.5881 Å, c = 8.5881 Å
α = 19.66°, β = 19.66°, γ = 19.66°
Positions (direct):
Cr  0.0128  0.0128  0.0128
Cr  0.4872  0.4872  0.4872
Hg  0.2500  0.2500  0.2500
Mn  0.7500  0.7500  0.7500

Here is an optimized crystal structure of Mn2CrHg from Alexandria via LeMat-Bulk. Energies are from PBE-GGA.

Computed properties:
The calculation puts the calculated formation energy at 0.333 eV/atom. The value obtained for the density of states at the Fermi level is 0.90 states/eV/atom.

a = 4.7980 Å, b = 4.7980 Å, c = 4.7980 Å
α = 131.63°, β = 131.63°, γ = 70.81°
Positions (direct):
Cr  0.2500  0.7500  0.5000
Hg  0.7500  0.2500  0.5000
Mn  0.0000  0.0000  0.0000
Mn  0.5000  0.5000  0.0000

Here is an optimized crystal structure of Mn2CrHg from Alexandria via LeMat-Bulk. Energies are from PBE-GGA.

Computed properties:
The calculation puts the calculated formation energy at 0.316 eV/atom. The value obtained for the density of states at the Fermi level is 0.97 states/eV/atom.

a = 2.9862 Å, b = 2.9862 Å, c = 6.8925 Å
α = 90.00°, β = 90.00°, γ = 90.00°
Positions (direct):
Cr  0.0000  0.0000  0.4533
Hg  0.5000  0.5000  0.7480
Mn  0.0000  0.0000  0.0358
Mn  0.5000  0.5000  0.2629

Here is an optimized crystal structure of MnCrHg3 from Alexandria via LeMat-Bulk. Energies are from PBE-GGA.

Computed properties:
The calculation puts the calculated formation energy at 0.830 eV/atom. The calculation puts the energy above the most stable polymorph in this dataset at 0 meV per atom. The value obtained for the density of states at the Fermi level is 0.97 states/eV/atom.

a = 5.1443 Å, b = 5.1443 Å, c = 5.1443 Å
α = 90.00°, β = 90.00°, γ = 90.00°
Positions (direct):
Cr  0.5000  0.5000  0.5000
Mn  0.0000  0.0000  0.0000
Hg  0.0000  0.5000  0.0000
Hg  0.0000  0.0000  0.5000
Hg  0.5000  0.0000  0.0000

Here is an optimized crystal structure of Mn2CrHg from Alexandria via LeMat-Bulk. Energies are from PBE-GGA.

Computed properties:
The calculation puts the calculated formation energy at 0.406 eV/atom. The value obtained for the density of states at the Fermi level is 0.95 states/eV/atom.

a = 4.6501 Å, b = 4.6501 Å, c = 2.9805 Å
α = 90.02°, β = 90.02°, γ = 106.07°
Positions (direct):
Cr  0.5000  0.0000  0.5000
Hg  0.0000  0.5000  0.5000
Mn  0.0000  0.0000  0.0000
Mn  0.5000  0.5000  0.0000